The following is a DFT calculation (PBEsol) of crystalline CrIn2W at its relaxed geometry. Values from VASP.

Output
**E_form**: 0.518 eV/atom
**Crystal system**: monoclinic
**N(E_F)**: 0.813 states/eV/atom

Quantum ESPRESSO input file:
```
&SYSTEM
  ibrav = 0, nat = 4, ntyp = 3
/
ATOMIC_SPECIES
Cr 52.00 Cr.upf
In 114.82 In.upf
W 183.84 W.upf
ATOMIC_POSITIONS angstrom
Cr 0.000 0.000 0.000
In 1.089 0.000 3.411
In 3.843 0.000 2.043
W 6.574 0.000 0.990
CELL_PARAMETERS angstrom
5.063 -1.562 0.000
5.063 1.562 0.000
-1.752 0.000 4.410
```